# Ac3Pm3Pr2

Crystalline Ac3Pm3Pr2 at its relaxed geometry (PBE, the Alexandria database).

```
data_Ac3Pm3Pr2
_chemical_formula_sum 'Ac6 Pm6 Pr4'
_cell_length_a 10.2585
_cell_length_b 10.2585
_cell_length_c 6.8837
_cell_angle_alpha 90.00
_cell_angle_beta 90.00
_cell_angle_gamma 120.00
_symmetry_space_group_name_H-M 'P 63/m c m'
_symmetry_Int_Tables_number 193
_symmetry_space_group_name_Hall '-P 6c 2'
loop_
_atom_site_label
_atom_site_type_symbol
_atom_site_fract_x
_atom_site_fract_y
_atom_site_fract_z
Ac1 Ac 0.0000 0.2311 0.2500
Pm1 Pm 0.0000 0.4138 0.7500
Pr1 Pr 0.3333 0.6667 0.0000
```

V, A^3/atom: 39.2
DOS at the Fermi energy, states/eV/atom: 1.89
Energy of formation from the pure elements, meV per atom: 153
Total moment, Bohr magnetons per cell: 0.00
Energy above the lowest structure with this stoichiometry, eV/atom: 0.1216
Uncorrected energy, eV per atom: -4.364